Entry A
Below is crystalline NaEu2Y at its relaxed geometry, with properties calculated at the GGA-PBE level.

Lattice parameters (Å, degrees): 3.7461 3.7461 12.7478 81.55 81.55 60.00
Fractional coordinates of all 4 atoms:
Eu 0.7466 0.7466 0.7601
Na 0.5000 0.5000 0.5000
Y 0.0000 0.0000 0.0000
Eu 0.2534 0.2534 0.2399

Output
Crystal system: trigonal
Spin magnetization: 15.3 μB/cell

=====

Entry B
Below is crystalline NaEu2Y at its relaxed geometry, with properties calculated at the GGA-PBE level.

Lattice parameters (Å, degrees): 3.9366 6.2021 6.2021 90.00 90.00 90.00
Fractional coordinates of all 4 atoms:
Eu 0.0000 0.5000 0.0000
Y 0.5000 0.0000 0.0000
Eu 0.0000 0.0000 0.5000
Na 0.5000 0.5000 0.5000

Output
Crystal system: tetragonal
Spin magnetization: 14.7 μB/cell

=====

Entry C
Below is crystalline NaEu2Y at its relaxed geometry, with properties calculated at the GGA-PBE level.

Lattice parameters (Å, degrees): 3.7242 3.7242 11.1379 90.00 90.00 90.00
Fractional coordinates of all 4 atoms:
Eu 0.0000 0.0000 0.2618
Eu 0.0000 0.0000 0.7382
Na 0.5000 0.5000 0.0000
Y 0.5000 0.5000 0.5000

Output
Crystal system: tetragonal
Spin magnetization: 15.7 μB/cell

=====

Stability, descending: entry A, entry C, entry B

=====

Entry A
Below is crystalline NaEuY at its relaxed geometry, with properties calculated at the GGA-PBE level.

Lattice parameters (Å, degrees): 3.6383 3.6383 8.7054 102.06 102.06 90.00
Fractional coordinates of all 3 atoms:
Y 0.6651 0.6651 0.3302
Eu 0.0066 0.0066 0.0132
Na 0.3283 0.3283 0.6567

Output
Crystal system: tetragonal
Spin magnetization: 7.8 μB/cell

=====

Entry B
Below is crystalline NaEuY at its relaxed geometry, with properties calculated at the GGA-PBE level.

Lattice parameters (Å, degrees): 3.6774 3.6774 9.3644 90.00 90.00 120.00
Fractional coordinates of all 3 atoms:
Eu 0.6667 0.3333 0.3457
Y 0.3333 0.6667 0.6618
Na 0.0000 0.0000 0.9924

Output
Crystal system: trigonal
Spin magnetization: 7.9 μB/cell

=====

Stability, descending: entry B, entry A

=====

Entry A
Below is crystalline NaEuZn2 at its relaxed geometry, with properties calculated at the GGA-PBE level.

Lattice parameters (Å, degrees): 3.9121 3.9121 8.8967 77.30 77.30 60.00
Fractional coordinates of all 4 atoms:
Zn 0.7479 0.7479 0.7563
Zn 0.2521 0.2521 0.2437
Eu 0.5000 0.5000 0.5000
Na 0.0000 0.0000 0.0000

Output
Crystal system: trigonal
Spin magnetization: 7.2 μB/cell

=====

Entry B
Below is crystalline NaEuZn2 at its relaxed geometry, with properties calculated at the GGA-PBE level.

Lattice parameters (Å, degrees): 3.6789 3.6789 7.4286 90.00 90.00 90.00
Fractional coordinates of all 4 atoms:
Zn 0.0000 0.0000 0.2458
Zn 0.0000 0.0000 0.7542
Eu 0.5000 0.5000 0.5000
Na 0.5000 0.5000 0.0000

Output
Crystal system: tetragonal
Spin magnetization: 7.2 μB/cell

=====

Stability, descending: entry B, entry A

=====

Entry A
Below is crystalline EuNbO2 at its relaxed geometry, with properties calculated at the GGA-PBE level.

Lattice parameters (Å, degrees): 3.3256 3.3256 5.8409 73.46 73.46 60.00
Fractional coordinates of all 4 atoms:
Nb 0.5000 0.5000 0.5000
O 0.2398 0.2398 0.2805
Eu 0.0000 0.0000 0.0000
O 0.7602 0.7602 0.7195

Output
Crystal system: trigonal
Spin magnetization: 6.6 μB/cell

=====

Entry B
Below is crystalline EuNbO2 at its relaxed geometry, with properties calculated at the GGA-PBE level.

Lattice parameters (Å, degrees): 2.8683 2.8683 6.0724 90.00 90.00 90.00
Fractional coordinates of all 4 atoms:
Nb 0.5000 0.5000 0.0000
O 0.0000 0.0000 0.2089
Eu 0.5000 0.5000 0.5000
O 0.0000 0.0000 0.7911

Output
Crystal system: tetragonal
Spin magnetization: 7.2 μB/cell

=====

Stability, descending: entry A, entry B